# CaSi2Pd9 (PBE-GGA, relaxed)
data_CaSi2Pd9
_space_group_name_H-M_alt 'I 41/a m d'
_space_group_IT_number 141
_cell_length_a 10.822
_cell_length_b 10.822
_cell_length_c 6.699
_cell_angle_alpha 90.00
_cell_angle_beta 90.00
_cell_angle_gamma 90.00
loop_
_space_group_symop_operation_xyz
'x,y,z'
'-x,-y,-z'
'-y+1/4,x+3/4,z+1/4'
'y+1/4,-x+3/4,-z+1/4'
'-x+1/2,-y,z+1/2'
'x+1/2,y,-z+1/2'
'y+1/4,-x+1/4,z+3/4'
'-y+1/4,x+1/4,-z+3/4'
'x,-y,-z'
'-x,y,z'
'-y+1/4,-x+1/4,-z+3/4'
'y+1/4,x+1/4,z+3/4'
'-x+1/2,y,-z+1/2'
'x+1/2,-y,z+1/2'
'y+1/4,x+3/4,-z+1/4'
'-y+1/4,-x+3/4,z+1/4'
'x+1/2,y+1/2,z+1/2'
'-x+1/2,-y+1/2,-z+1/2'
'-y+3/4,x+1/4,z+3/4'
'y+3/4,-x+1/4,-z+3/4'
'-x,-y+1/2,z'
'x,y+1/2,-z'
'y+3/4,-x+3/4,z+1/4'
'-y+3/4,x+3/4,-z+1/4'
'x+1/2,-y+1/2,-z+1/2'
'-x+1/2,y+1/2,z+1/2'
'-y+3/4,-x+3/4,-z+1/4'
'y+3/4,x+3/4,z+1/4'
'-x,y+1/2,-z'
'x,-y+1/2,z'
'y+3/4,x+1/4,-z+3/4'
'-y+3/4,-x+1/4,z+3/4'
loop_
_atom_site_label
_atom_site_type_symbol
_atom_site_fract_x
_atom_site_fract_y
_atom_site_fract_z
_atom_site_occupancy
Ca1 Ca 0.000 0.250 0.375 1
Si1 Si 0.000 0.000 0.000 1
Pd1 Pd 0.000 0.250 0.875 1
Pd2 Pd 0.124 0.058 0.682 1
# ΔE_f (raw) in eV/atom: -0.5179